Model a:
Cr2TeS2, optimized geometry, DFT PBE; calculated density = 5.71 g cm⁻³; D(E_F) = 6.69 states/eV per cell
1.0
7.436 0.000 0.000
0.000 7.436 0.000
0.000 0.000 3.112
S Cr Te
4 4 2
Cartesian
6.468 2.750 1.556 S
4.687 6.468 1.556 S
0.968 4.687 1.556 S
2.750 0.968 1.556 S
4.662 0.944 0.000 Cr
2.774 6.492 0.000 Cr
0.944 2.774 0.000 Cr
6.492 4.662 0.000 Cr
3.718 3.718 0.000 Te
0.000 0.000 0.000 Te

Model b:
Cr2TeS2, optimized geometry, DFT PBE; calculated density = 5.15 g cm⁻³; D(E_F) = 1.60 states/eV per cell
1.0
4.047 0.000 0.000
0.000 4.047 0.000
2.024 2.024 5.817
S Cr Te
2 2 1
Cartesian
4.047 2.024 2.909 S
2.024 4.047 2.909 S
2.024 2.024 1.601 Cr
4.047 4.047 4.216 Cr
0.000 0.000 0.000 Te

Most stable of them? model a.

Model a:
Tl3CrS, optimized geometry, DFT PBE; calculated density = 7.62 g cm⁻³; D(E_F) = 1.16 states/eV per cell
1.0
5.336 0.000 0.000
0.000 5.336 0.000
0.000 0.000 5.336
Cr S Tl
1 1 3
Cartesian
0.000 0.000 0.000 Cr
2.668 2.668 2.668 S
0.000 2.668 0.000 Tl
2.668 0.000 0.000 Tl
0.000 0.000 2.668 Tl

Model b:
Tl3CrS, optimized geometry, DFT PBE; calculated density = 6.50 g cm⁻³; D(E_F) = 3.20 states/eV per cell
1.0
-2.152 -0.717 -5.149
0.318 -5.581 0.644
-5.189 -0.045 2.175
Tl Cr S
3 1 1
Cartesian
-1.076 -0.358 -2.575 Tl
-2.595 -0.022 1.087 Tl
0.159 -2.790 0.322 Tl
-3.512 -3.171 -1.165 Cr
0.000 0.000 0.000 S

Most stable of them? model a.

Model a:
Tl2CrS, optimized geometry, DFT PBE; calculated density = 8.22 g cm⁻³; D(E_F) = 2.97 states/eV per cell
1.0
-7.793 0.909 -2.232
-0.285 -7.849 -2.202
-4.918 -4.213 0.548
Cr Tl S
2 4 2
Cartesian
-8.375 -3.387 -1.951 Cr
0.000 0.000 0.000 Cr
-6.721 -5.863 -1.280 Tl
-10.753 -9.131 -3.441 Tl
-6.035 -1.478 -1.505 Tl
-2.482 -5.833 -1.547 Tl
-4.621 -7.766 -1.936 S
-4.039 -3.470 -2.217 S

Model b:
Tl2CrS, optimized geometry, DFT PBE; calculated density = 9.51 g cm⁻³; D(E_F) = 5.70 states/eV per cell
1.0
-2.929 -3.398 2.108
-2.316 1.025 4.260
-4.912 0.654 0.055
Tl Cr S
2 1 1
Cartesian
-2.539 -0.430 1.606 Tl
-7.618 -1.289 4.817 Tl
-5.079 -0.860 3.212 Cr
0.000 0.000 0.000 S

Most stable of them? model a.

Model a:
Tm3CrS6, optimized geometry, DFT PBE; calculated density = 5.65 g cm⁻³; D(E_F) = 3.04 states/eV per cell
1.0
-0.960 -3.090 5.622
-5.855 -4.732 -3.602
6.913 -4.493 -1.289
S Tm Cr
12 6 2
Cartesian
-0.186 -3.697 -0.662 S
3.453 -6.594 1.924 S
-3.187 -5.182 -2.176 S
-3.334 -5.314 1.710 S
3.538 -6.661 -1.599 S
3.193 -3.655 -0.006 S
0.159 -6.699 -2.254 S
-6.033 -6.849 0.354 S
0.404 -8.231 0.688 S
-2.989 -8.319 0.116 S
0.059 -5.228 2.280 S
6.249 -5.084 -0.319 S
-1.597 -7.402 2.357 Tm
0.540 -4.703 4.842 Tm
1.416 -5.810 0.005 Tm
1.209 -10.531 1.753 Tm
-1.553 -3.206 1.565 Tm
-0.884 -9.034 -1.524 Tm
4.427 -4.587 -1.651 Cr
-3.878 -6.278 -0.257 Cr

Model b:
Tm3CrS6, optimized geometry, DFT PBE; calculated density = 6.43 g cm⁻³
1.0
3.726 0.000 0.000
0.000 13.172 0.000
0.000 0.000 15.809
Cr Tm S
4 12 24
Cartesian
1.863 6.586 0.000 Cr
1.863 6.586 7.905 Cr
0.000 0.000 7.905 Cr
0.000 0.000 0.000 Cr
1.863 0.652 3.508 Tm
0.000 5.934 11.413 Tm
1.863 3.391 6.344 Tm
1.863 9.781 9.466 Tm
0.000 7.239 4.397 Tm
0.000 9.977 1.561 Tm
0.000 4.195 2.328 Tm
0.000 3.195 14.248 Tm
1.863 10.781 5.576 Tm
1.863 2.391 10.233 Tm
0.000 8.977 13.481 Tm
1.863 12.520 12.301 Tm
0.000 10.778 7.590 S
0.000 11.595 14.070 S
1.863 1.086 14.600 S
1.863 12.086 1.209 S
1.863 4.192 0.315 S
0.000 11.802 3.904 S
0.000 6.305 14.258 S
1.863 9.077 3.322 S
0.000 6.867 1.551 S
0.000 2.394 8.220 S
1.863 5.009 9.644 S
1.863 8.163 6.166 S
1.863 4.096 12.488 S
0.000 7.672 9.114 S
0.000 1.577 1.739 S
0.000 10.682 11.226 S
1.863 8.980 15.494 S
1.863 0.281 6.353 S
1.863 12.891 9.456 S
1.863 5.216 4.001 S
0.000 5.500 6.696 S
0.000 1.370 11.905 S
0.000 2.490 4.583 S
1.863 7.956 11.809 S

Most stable of them? model b.